MgCrMo3 | SCAN | single point on PBEsol structure

For the energy of formation from the pure elements, the calculation gives 1096 kJ/mol of formula units. The calculation puts the total DFT energy (no corrections) at -116.7 eV per cell. The space-group type is Pm-3m (221).

```
MgCrMo3
1.0
4.5022 0.0000 0.0000
0.0000 4.5022 0.0000
0.0000 0.0000 4.5022
Cr Mo Mg
1 3 1
Direct
0.5000 0.5000 0.5000
0.0000 0.5000 0.0000
0.0000 0.0000 0.5000
0.5000 0.0000 0.0000
0.0000 0.0000 0.0000
```